Record 1
Here is a relaxed Ti8TcGe2 crystal from Alexandria. Energies are from GGA-PBE.

Values from the calculation:
Volume in Å³ per atom: 16.65
Space-group type: No. 12
Energy in eV/atom: -7.8561
Crystal system: monoclinic
Magnetization in μB/cell: 0.00

a b c (Å): 7.7031 7.7031 6.7317
angles (deg): 111.63 111.63 29.75
Closest atoms and distances in Å follow each position.
Element x y z (fractional)
Ti1 0.0323 0.0323 0.3026  2 Tc 2.53, 4 Ti 2.76-2.77, 1 Ge 2.81
Ti2 0.1795 0.1795 0.7716  3 Ge 2.66-2.68, 2 Ti 2.96
Ti3 0.3276 0.3276 0.5711  3 Ge 2.66-2.70, 5 Ti 2.76-2.95, 1 Tc 2.79
Ti4 0.4150 0.4150 0.0451  2 Ge 2.61, 3 Ti 2.77-2.82, 1 Tc 2.83
Ti5 0.5850 0.5850 0.9549  2 Ge 2.61, 3 Ti 2.77-2.82, 1 Tc 2.83
Ti6 0.6724 0.6724 0.4289  3 Ge 2.66-2.70, 5 Ti 2.76-2.95, 1 Tc 2.79
Ti7 0.8205 0.8205 0.2284  3 Ge 2.66-2.68, 2 Ti 2.96
Ti8 0.9677 0.9677 0.6974  2 Tc 2.53, 4 Ti 2.76-2.77, 1 Ge 2.81
Tc1 0.5000 0.5000 0.5000  6 Ti 2.53-2.79
Ge1 0.1916 0.1916 0.1755  9 Ti 2.61-2.81
Ge2 0.8084 0.8084 0.8245  9 Ti 2.61-2.81

Record 2
Here is a relaxed YTm6Ni3 crystal from Alexandria. Energies are from GGA-PBE.

Values from the calculation:
Volume in Å³ per atom: 24.17
Space-group type: No. 36
Energy in eV/atom: -5.3269
Crystal system: orthorhombic
Magnetization in μB/cell: 0.00

a b c (Å): 8.3671 8.3671 7.0089
angles (deg): 90.00 90.00 99.82
Closest atoms and distances in Å follow each position.
Element x y z (fractional)
Y1 0.1815 0.8185 0.5000  1 Ni 2.67
Y2 0.8185 0.1815 0.0000  1 Ni 2.67
Tm1 0.0819 0.4637 0.7299  2 Ni 2.77-2.88
Tm2 0.1297 0.2052 0.3762  4 Ni 2.64-2.81
Tm3 0.2052 0.1297 0.8762  4 Ni 2.64-2.81
Tm4 0.2732 0.7268 0.0382  3 Ni 2.61-2.63
Tm5 0.4637 0.0819 0.2299  2 Ni 2.77-2.88
Tm6 0.4702 0.5298 0.3791  4 Ni 3.08-3.12
Tm7 0.5298 0.4702 0.8791  4 Ni 3.08-3.12
Tm8 0.5363 0.9181 0.7299  2 Ni 2.77-2.88
Tm9 0.7268 0.2732 0.5382  3 Ni 2.61-2.63
Tm10 0.7948 0.8703 0.3762  4 Ni 2.64-2.81
Tm11 0.8703 0.7948 0.8762  4 Ni 2.64-2.81
Tm12 0.9181 0.5363 0.2299  2 Ni 2.77-2.88
Ni1 0.0815 0.9185 0.1662  5 Tm 2.61-2.78, 1 Y 2.67
Ni2 0.1968 0.4116 0.0914  5 Tm 2.63-2.88
Ni3 0.4116 0.1968 0.5914  5 Tm 2.63-2.88
Ni4 0.5884 0.8032 0.0914  5 Tm 2.63-2.88
Ni5 0.8032 0.5884 0.5914  5 Tm 2.63-2.88
Ni6 0.9185 0.0815 0.6662  5 Tm 2.61-2.78, 1 Y 2.67